No. 1
{
  "formula": "InHRu2Cl",
  "functional": "GGA-PBE",
  "state": "relaxed",
  "dft_energy_ev_per_atom": -4.451,
  "cell": [[4.706, 0.000, 0.000], [0.000, 4.706, 0.000], [0.000, 0.000, 3.204]],
  "species": ["In", "H", "Ru", "Ru", "Cl"],
  "frac_coords": [[0.000, 0.000, 0.000], [0.500, 0.500, 0.000], [0.000, 0.500, 0.500], [0.500, 0.000, 0.500], [0.500, 0.500, 0.500]]
}



No. 2
{
  "formula": "In2SbHCl",
  "functional": "GGA-PBE",
  "state": "relaxed",
  "dft_energy_ev_per_atom": -2.897,
  "cell": [[6.401, 0.000, 0.000], [0.000, 6.401, 0.000], [0.000, 0.000, 3.147]],
  "species": ["In", "In", "Sb", "H", "Cl"],
  "frac_coords": [[0.000, 0.500, 0.000], [0.500, 0.000, 0.000], [0.000, 0.000, 0.500], [0.500, 0.500, 0.500], [0.500, 0.500, 0.000]]
}



No. 3
{
  "formula": "InSn2HCl",
  "functional": "GGA-PBE",
  "state": "relaxed",
  "dft_energy_ev_per_atom": -2.993,
  "cell": [[6.127, 0.000, 0.000], [0.000, 6.127, 0.000], [0.000, 0.000, 3.228]],
  "species": ["In", "Sn", "Sn", "H", "Cl"],
  "frac_coords": [[0.000, 0.000, 0.000], [0.000, 0.500, 0.500], [0.500, 0.000, 0.500], [0.500, 0.500, 0.000], [0.500, 0.500, 0.500]]
}



No. 4
{
  "formula": "InTcHCl2",
  "functional": "GGA-PBE",
  "state": "relaxed",
  "dft_energy_ev_per_atom": -3.674,
  "cell": [[4.588, 0.000, 0.000], [0.000, 4.588, 0.000], [0.000, 0.000, 5.683]],
  "species": ["In", "Tc", "H", "Cl", "Cl"],
  "frac_coords": [[0.000, 0.000, 0.000], [0.000, 0.000, 0.500], [0.500, 0.500, 0.000], [0.000, 0.500, 0.500], [0.500, 0.000, 0.500]]
}



No. 5
{
  "formula": "TlInHCl2",
  "functional": "GGA-PBE",
  "state": "relaxed",
  "dft_energy_ev_per_atom": -3.047,
  "cell": [[5.706, 0.000, 0.000], [0.000, 5.706, 0.000], [0.000, 0.000, 3.936]],
  "species": ["Tl", "In", "H", "Cl", "Cl"],
  "frac_coords": [[0.000, 0.000, 0.000], [0.500, 0.500, 0.500], [0.500, 0.500, 0.000], [0.000, 0.500, 0.500], [0.500, 0.000, 0.500]]
}



No. 6
{
  "formula": "TlInHCl",
  "functional": "GGA-PBE",
  "state": "relaxed",
  "dft_energy_ev_per_atom": -2.643,
  "cell": [[0.000, 3.670, 3.670], [3.670, 0.000, 3.670], [3.670, 3.670, 0.000]],
  "species": ["Tl", "In", "H", "Cl"],
  "frac_coords": [[0.000, 0.000, 0.000], [0.500, 0.500, 0.500], [0.750, 0.750, 0.750], [0.250, 0.250, 0.250]]
}



No. 7
{
  "formula": "H3IrCl",
  "functional": "GGA-PBE",
  "state": "relaxed",
  "de_polymorph_mev_per_atom": 0,
  "cell": [[3.618, 0.000, 0.000], [0.000, 3.618, 0.000], [0.000, 0.000, 3.618]],
  "species": ["H", "H", "H", "Ir", "Cl"],
  "frac_coords": [[0.000, 0.000, 0.500], [0.000, 0.500, 0.000], [0.500, 0.000, 0.000], [0.000, 0.000, 0.000], [0.500, 0.500, 0.500]]
}



No. 8
{
  "formula": "HIrCl2",
  "functional": "GGA-PBE",
  "state": "relaxed",
  "de_polymorph_mev_per_atom": 158,
  "cell": [[-2.581, 2.581, 4.659], [2.581, -2.581, 4.659], [2.581, 2.581, -4.659]],
  "species": ["H", "H", "Ir", "Ir", "Cl", "Cl", "Cl", "Cl"],
  "frac_coords": [[0.000, 0.000, 0.000], [0.750, 0.250, 0.500], [0.250, 0.750, 0.500], [0.500, 0.500, 0.000], [0.068, 0.625, 0.943], [0.375, 0.318, 0.443], [0.682, 0.125, 0.057], [0.875, 0.932, 0.557]]
}



No. 9
{
  "formula": "H2IrCl",
  "functional": "GGA-PBE",
  "state": "relaxed",
  "de_polymorph_mev_per_atom": 0,
  "cell": [[-2.566, 2.566, 3.552], [2.566, -2.566, 3.552], [2.566, 2.566, -3.552]],
  "species": ["H", "H", "H", "H", "Ir", "Ir", "Cl", "Cl"],
  "frac_coords": [[0.000, 0.125, 0.375], [0.375, 0.000, 0.125], [0.750, 0.625, 0.625], [0.875, 0.250, 0.875], [0.000, 0.000, 0.000], [0.750, 0.250, 0.500], [0.250, 0.750, 0.500], [0.500, 0.500, 0.000]]
}



No. 10
{
  "formula": "H2IrCl",
  "functional": "GGA-PBE",
  "state": "relaxed",
  "de_polymorph_mev_per_atom": 741,
  "cell": [[0.000, 2.669, 2.669], [2.669, 0.000, 2.669], [2.669, 2.669, 0.000]],
  "species": ["H", "H", "Ir", "Cl"],
  "frac_coords": [[0.250, 0.250, 0.250], [0.750, 0.750, 0.750], [0.000, 0.000, 0.000], [0.500, 0.500, 0.500]]
}



No. 11
{
  "formula": "HIr2Cl",
  "functional": "GGA-PBE",
  "state": "relaxed",
  "de_polymorph_mev_per_atom": 706,
  "cell": [[0.000, 2.921, 2.921], [2.921, 0.000, 2.921], [2.921, 2.921, 0.000]],
  "species": ["H", "Ir", "Ir", "Cl"],
  "frac_coords": [[0.000, 0.000, 0.000], [0.250, 0.250, 0.250], [0.750, 0.750, 0.750], [0.500, 0.500, 0.500]]
}



No. 12
{
  "formula": "HIrCl6",
  "functional": "GGA-PBE",
  "state": "relaxed",
  "dft_energy_ev_per_atom": -3.247,
  "cell": [[3.282, -5.660, 0.000], [3.282, 5.660, 0.000], [-2.040, 0.000, 5.832]],
  "species": ["H", "Ir", "Cl", "Cl", "Cl", "Cl", "Cl", "Cl"],
  "frac_coords": [[0.000, 0.000, 0.000], [0.000, 0.000, 0.500], [0.085, 0.372, 0.709], [0.190, 0.190, 0.234], [0.372, 0.085, 0.709], [0.628, 0.915, 0.291], [0.810, 0.810, 0.766], [0.915, 0.628, 0.291]]
}